No. 1
8
Lattice="-2.3727 2.3727 8.8696 2.3727 -2.3727 8.8696 2.3727 2.3727 -8.8696" Properties=species:S:1:pos:R:3 comment="KCuIr2 PBE-GGA relaxed" energy_ha_per_atom=-0.1790 mass_density_g_cm3=8.10 space_group="I-42d (122)" total_magnetization_mub_per_fu=0.0 pbc="T T T"
K 0.0000 0.0000 0.0000
K 0.0000 2.3727 4.4348
Cu 2.3727 0.0000 4.4348
Cu 0.0000 0.0000 8.8696
Ir 1.1864 2.2229 -2.2174
Ir 2.5225 1.1864 2.2174
Ir 1.1864 0.1498 6.6522
Ir -0.1498 1.1864 11.0871

***

No. 2
4
Lattice="4.3374 0.0000 0.0000 0.0000 4.3374 0.0000 0.0000 0.0000 4.3235" Properties=species:S:1:pos:R:3 comment="EuPdAu2 PBE-GGA relaxed" energy_ha_per_atom=-0.2212 mass_density_g_cm3=13.32 space_group="P4/mmm (123)" total_magnetization_mub_per_fu=6.9 pbc="T T T"
Eu 0.0000 0.0000 0.0000
Pd 2.1687 2.1687 0.0000
Au 0.0000 2.1687 2.1618
Au 2.1687 0.0000 2.1618

***

No. 3
6
Lattice="5.3876 -1.4096 0.0000 5.3876 1.4096 0.0000 -2.1469 0.0000 6.3902" Properties=species:S:1:pos:R:3 comment="Pt5Se PBE-GGA relaxed" energy_ha_per_atom=-0.2028 mass_density_g_cm3=18.04 e_form_raw_ev_per_atom=0.0958 space_group="C2/m (12)" total_magnetization_mub_per_fu=0.0 pbc="T T T"
Pt 0.0000 0.0000 0.0000
Pt 3.2259 0.0000 1.0938
Pt 2.2190 0.0000 4.2459
Pt 6.4092 0.0000 2.1443
Pt 5.4023 0.0000 5.2964
Se -1.0735 0.0000 3.1951

***

No. 4
5
Lattice="4.8565 0.0000 0.0000 0.0000 4.8565 0.0000 0.0000 0.0000 4.8565" Properties=species:S:1:pos:R:3 comment="LiCuSe3 PBE-GGA relaxed" energy_ha_per_atom=-0.1189 mass_density_g_cm3=4.46 e_form_raw_ev_per_atom=0.0583 space_group="Pm-3m (221)" total_magnetization_mub_per_fu=0.0 pbc="T T T"
Li 0.0000 0.0000 0.0000
Cu 2.4283 2.4283 2.4283
Se 0.0000 2.4283 2.4283
Se 2.4283 0.0000 2.4283
Se 2.4283 2.4283 0.0000

***

No. 5
15
Lattice="0.0000 5.3823 5.3823 5.3823 0.0000 5.3823 5.3823 5.3823 0.0000" Properties=species:S:1:pos:R:3 comment="AcPu6N8 PBE-GGA relaxed" energy_ha_per_atom=-0.4137 mass_density_g_cm3=9.60 e_form_raw_ev_per_atom=-0.8114 space_group="Fm-3m (225)" total_magnetization_mub_per_fu=25.2 pbc="T T T"
Ac 0.0000 0.0000 0.0000
Pu 2.6911 2.6911 0.0000
Pu 2.6911 0.0000 2.6911
Pu 5.3823 2.6911 2.6911
Pu 0.0000 2.6911 2.6911
Pu 2.6911 5.3823 2.6911
Pu 2.6911 2.6911 5.3823
N 1.5530 1.5530 1.5530
N 3.8293 3.8293 1.5530
N 3.8293 1.5530 3.8293
N 9.2116 6.9353 6.9353
N 1.5530 3.8293 3.8293
N 6.9353 9.2116 6.9353
N 6.9353 6.9353 9.2116
N 9.2116 9.2116 9.2116

***

No. 6
12
Lattice="5.3778 -2.6213 0.0000 5.3778 2.6213 0.0000 -4.4502 0.0000 7.5971" Properties=species:S:1:pos:R:3 comment="KS2IO8 PBE-GGA relaxed" energy_ha_per_atom=-0.1994 mass_density_g_cm3=2.78 e_form_raw_ev_per_atom=-1.2133 space_group="C2/m (12)" total_magnetization_mub_per_fu=0.0 pbc="T T T"
K 0.0000 0.0000 0.0000
S 3.3343 0.0000 1.7259
S 2.9710 0.0000 5.8712
I -2.2251 0.0000 3.7985
O 2.2719 1.2139 5.1833
O 4.0334 1.2139 2.4138
O 1.9135 0.0000 1.9965
O 3.7775 0.0000 0.3443
O 2.5279 0.0000 7.2528
O 4.3918 0.0000 5.6006
O 2.2719 -1.2139 5.1833
O 4.0334 -1.2139 2.4138

***

No. 7
18
Lattice="-3.6111 3.6111 8.5104 3.6111 -3.6111 8.5104 3.6111 3.6111 -8.5104" Properties=species:S:1:pos:R:3 comment="Mg5CdHg2Pb PBE-GGA relaxed" energy_ha_per_atom=-0.0548 mass_density_g_cm3=6.30 space_group="I4/mcm (140)" total_magnetization_mub_per_fu=0.0 pbc="T T T"
Mg 0.0000 0.0000 0.0000
Mg 5.2225 1.6114 -2.3757
Mg 1.6114 1.9996 -2.3757
Mg 5.2225 1.6114 2.3757
Mg 1.6114 1.9996 2.3757
Mg 0.0000 0.0000 8.5104
Mg 1.9996 1.6114 6.1347
Mg -1.6114 1.9996 6.1347
Mg 1.9996 1.6114 10.8862
Mg -1.6114 1.9996 10.8862
Cd 0.0000 0.0000 4.2552
Cd 0.0000 0.0000 12.7656
Hg 2.6186 0.9925 0.0000
Hg 2.6186 -0.9925 8.5104
Hg 0.9925 4.6036 0.0000
Hg 0.9925 2.6186 8.5104
Pb 3.6111 0.0000 4.2552
Pb 0.0000 3.6111 4.2552

***

No. 8
8
Lattice="-1.9352 6.6211 7.4213 1.9352 -6.6211 7.4213 1.9352 6.6211 -7.4213" Properties=species:S:1:pos:R:3 comment="Sr3Ca4Ac PBE-GGA relaxed" energy_ha_per_atom=-0.0749 mass_density_g_cm3=2.84 space_group="Immm (71)" total_magnetization_mub_per_fu=0.2 pbc="T T T"
Sr 0.0000 0.0000 0.0000
Sr 1.9352 0.0000 3.9072
Sr 0.0000 6.6211 3.5141
Ca 1.9352 3.3213 -1.9375
Ca 1.9352 3.3213 1.9375
Ca 0.0000 3.2997 5.4838
Ca 0.0000 3.2997 9.3587
Ac 0.0000 0.0000 7.4213

***

No. 9
5
Lattice="3.9366 0.0000 0.0000 0.0000 3.9366 0.0000 0.0000 0.0000 3.9366" Properties=species:S:1:pos:R:3 comment="PaMn3N PBE-GGA relaxed" energy_ha_per_atom=-0.3426 mass_density_g_cm3=11.16 e_form_raw_ev_per_atom=-0.2559 space_group="Pm-3m (221)" total_magnetization_mub_per_fu=0.0 pbc="T T T"
Pa 0.0000 0.0000 0.0000
Mn 0.0000 1.9683 1.9683
Mn 1.9683 0.0000 1.9683
Mn 1.9683 1.9683 0.0000
N 1.9683 1.9683 1.9683

***

No. 10
4
Lattice="1.6738 0.9664 11.0335 -1.6738 0.9664 11.0335 0.0000 -1.9327 11.0335" Properties=species:S:1:pos:R:3 comment="SmVSn2 PBE-GGA relaxed" energy_ha_per_atom=-0.1875 mass_density_g_cm3=6.80 space_group="R-3m (166)" total_magnetization_mub_per_fu=3.4 pbc="T T T"
Sm 0.0000 0.0000 0.0000
V 0.0000 0.0000 16.5503
Sn 0.0000 0.0000 13.7856
Sn 0.0000 0.0000 19.3150

***

No. 11
4
Lattice="2.7130 0.0000 0.0000 0.0000 4.6014 0.0000 -0.2755 0.0000 4.7974" Properties=species:S:1:pos:R:3 comment="MoOs2Rh PBE-GGA relaxed" energy_ha_per_atom=-0.3614 mass_density_g_cm3=16.06 space_group="P2/m (10)" total_magnetization_mub_per_fu=0.0 pbc="T T T"
Mo 0.0000 0.0000 0.0000
Os 0.6384 2.3007 3.5723
Os 1.7991 2.3007 1.2251
Rh 1.2187 0.0000 2.3987

***

No. 12
4
Lattice="3.4218 0.0000 0.0000 -0.7141 5.8348 0.0000 -1.5185 -2.4456 5.4882" Properties=species:S:1:pos:R:3 comment="TeP3 PBE-GGA relaxed" energy_ha_per_atom=-0.1685 mass_density_g_cm3=3.34 e_form_raw_ev_per_atom=0.2565 space_group="P1 (1)" total_magnetization_mub_per_fu=0.0 pbc="T T T"
Te 0.0000 0.0000 0.0000
P -0.4518 1.4478 3.0453
P -0.5757 3.5930 3.5786
P 1.2476 2.0022 1.6259

***

Please write out number 12 again, unchanged.
4
Lattice="3.4218 0.0000 0.0000 -0.7141 5.8348 0.0000 -1.5185 -2.4456 5.4882" Properties=species:S:1:pos:R:3 comment="TeP3 PBE-GGA relaxed" energy_ha_per_atom=-0.1685 mass_density_g_cm3=3.34 e_form_raw_ev_per_atom=0.2565 space_group="P1 (1)" total_magnetization_mub_per_fu=0.0 pbc="T T T"
Te 0.0000 0.0000 0.0000
P -0.4518 1.4478 3.0453
P -0.5757 3.5930 3.5786
P 1.2476 2.0022 1.6259